A geometry-optimized MgB3H structure, computed with PBE.

Unit cell a=3.4084 b=3.4084 c=3.4084 alpha=90.00 beta=90.00 gamma=90.00
Space group Pm-3m (No. 221)
Unique sites:
Mg  0.0000  0.0000  0.0000
B  0.0000  0.5000  0.5000
H  0.5000  0.5000  0.5000

The calculation puts the calculated volume at 40 Å³ per cell. Its magnetic moment is 0.000 μB per atom. The offset from the most stable computed form is 0 meV/atom. Its density is 2.4 g/cm3.